[1]
The following is a DFT calculation (PBE) of crystalline Re2NiAg at its relaxed geometry.

Structure (POSCAR):
```
Re2NiAg
1.0
6.179 0.000 0.000
0.000 6.179 0.000
0.000 0.000 6.179
Re Ni Ag
8 4 4
Direct
0.000 0.000 0.000
0.000 0.500 0.500
0.250 0.250 0.250
0.250 0.750 0.750
0.500 0.000 0.500
0.500 0.500 0.000
0.750 0.250 0.750
0.750 0.750 0.250
0.000 0.000 0.500
0.000 0.500 0.000
0.500 0.000 0.000
0.500 0.500 0.500
0.250 0.250 0.750
0.250 0.750 0.250
0.750 0.250 0.250
0.750 0.750 0.750
```

Values from the calculation:
Calculated formation energy, meV per atom: 558
Crystal system: cubic
Final energy, eV per atom: -7.82

=====

[2]
The following is a DFT calculation (PBE) of crystalline ReNi2Ag at its relaxed geometry.

Structure (POSCAR):
```
ReNi2Ag
1.0
6.693 0.000 0.000
0.000 6.693 0.000
0.000 0.000 5.366
Re Ni Ag
4 8 4
Direct
0.000 0.000 0.000
0.000 0.500 0.250
0.500 0.000 0.750
0.500 0.500 0.500
0.225 0.250 0.125
0.250 0.725 0.375
0.250 0.775 0.875
0.275 0.250 0.625
0.725 0.750 0.625
0.750 0.225 0.875
0.750 0.275 0.375
0.775 0.750 0.125
0.000 0.000 0.500
0.000 0.500 0.750
0.500 0.000 0.250
0.500 0.500 0.000
```

Values from the calculation:
Calculated formation energy, meV per atom: 879
Crystal system: tetragonal
Final energy, eV per atom: -5.84

=====

[3]
The following is a DFT calculation (PBE) of crystalline ReNi2Ag at its relaxed geometry.

Structure (POSCAR):
```
ReNi2Ag
1.0
6.022 0.000 0.000
0.000 6.022 0.000
0.000 0.000 6.022
Re Ni Ag
4 8 4
Direct
0.000 0.000 0.000
0.000 0.500 0.500
0.500 0.000 0.500
0.500 0.500 0.000
0.000 0.000 0.500
0.000 0.500 0.000
0.250 0.250 0.250
0.250 0.750 0.750
0.500 0.000 0.000
0.500 0.500 0.500
0.750 0.250 0.750
0.750 0.750 0.250
0.250 0.250 0.750
0.250 0.750 0.250
0.750 0.250 0.250
0.750 0.750 0.750
```

Values from the calculation:
Calculated formation energy, meV per atom: 637
Crystal system: cubic
Final energy, eV per atom: -6.08

=====

[4]
The following is a DFT calculation (PBE) of crystalline Re2NiAg at its relaxed geometry.

Structure (POSCAR):
```
Re2NiAg
1.0
2.720 0.000 0.000
0.000 3.891 0.000
0.000 0.000 5.577
Re Ni Ag
2 1 1
Direct
0.000 0.000 0.000
0.500 0.500 0.217
0.500 0.500 0.753
0.000 0.000 0.511
```

Values from the calculation:
Calculated formation energy, meV per atom: 365
Crystal system: orthorhombic
Final energy, eV per atom: -8.02

=====

[5]
The following is a DFT calculation (PBE) of crystalline ReNi2Ag at its relaxed geometry.

Structure (POSCAR):
```
ReNi2Ag
1.0
2.632 0.000 0.000
0.000 3.707 0.000
0.000 0.000 5.642
Re Ni Ag
1 2 1
Direct
0.000 0.000 0.000
0.000 0.000 0.572
0.500 0.500 0.801
0.500 0.500 0.314
```

Values from the calculation:
Calculated formation energy, meV per atom: 348
Crystal system: orthorhombic
Final energy, eV per atom: -6.37

=====

[6]
The following is a DFT calculation (PBE) of crystalline ReNiAg2 at its relaxed geometry.

Structure (POSCAR):
```
ReNiAg2
1.0
2.769 0.000 0.000
-1.384 2.398 0.000
0.000 0.000 27.729
Re Ni Ag
3 3 6
Direct
0.000 0.000 0.000
0.333 0.667 0.667
0.667 0.333 0.333
0.000 0.000 0.500
0.333 0.667 0.167
0.667 0.333 0.833
0.000 0.000 0.246
0.000 0.000 0.754
0.333 0.667 0.421
0.333 0.667 0.912
0.667 0.333 0.088
0.667 0.333 0.579
```

Values from the calculation:
Calculated formation energy, meV per atom: 507
Crystal system: trigonal
Final energy, eV per atom: -5.48

=====

[7]
The following is a DFT calculation (PBE) of crystalline Re2NiAg at its relaxed geometry.

Structure (POSCAR):
```
Re2NiAg
1.0
3.923 0.000 0.000
0.000 3.923 0.000
0.000 0.000 7.509
Re Ni Ag
4 2 2
Direct
0.000 0.000 0.000
0.000 0.500 0.250
0.500 0.000 0.750
0.500 0.500 0.500
0.000 0.500 0.750
0.500 0.000 0.250
0.000 0.000 0.500
0.500 0.500 0.000
```

Values from the calculation:
Calculated formation energy, meV per atom: 455
Crystal system: tetragonal
Final energy, eV per atom: -7.93

=====

[8]
The following is a DFT calculation (PBE) of crystalline ReNi2Ag at its relaxed geometry.

Structure (POSCAR):
```
ReNi2Ag
1.0
8.460 0.000 0.000
0.000 2.630 0.000
-0.635 0.000 4.982
Re Ni Ag
2 4 2
Direct
0.000 0.000 0.000
0.500 0.500 0.000
0.247 0.500 0.213
0.253 0.000 0.787
0.747 0.000 0.213
0.753 0.500 0.787
0.000 0.500 0.500
0.500 0.000 0.500
```

Values from the calculation:
Calculated formation energy, meV per atom: 330
Crystal system: monoclinic
Final energy, eV per atom: -6.39

=====

[9]
The following is a DFT calculation (PBE) of crystalline ReNiAg2 at its relaxed geometry.

Structure (POSCAR):
```
ReNiAg2
1.0
4.090 0.000 0.000
0.000 4.090 0.000
0.000 0.000 7.290
Re Ni Ag
2 2 4
Direct
0.000 0.000 0.000
0.500 0.500 0.500
0.000 0.500 0.250
0.500 0.000 0.750
0.000 0.000 0.500
0.000 0.500 0.750
0.500 0.000 0.250
0.500 0.500 0.000
```

Values from the calculation:
Calculated formation energy, meV per atom: 772
Crystal system: tetragonal
Final energy, eV per atom: -5.21

=====

[10]
The following is a DFT calculation (PBE) of crystalline Re2NiAg at its relaxed geometry.

Structure (POSCAR):
```
Re2NiAg
1.0
2.702 0.000 0.000
0.000 4.424 0.000
0.000 0.000 10.111
Re Ni Ag
4 2 2
Direct
0.000 0.000 0.210
0.000 0.000 0.790
0.500 0.500 0.290
0.500 0.500 0.710
0.000 0.500 0.500
0.500 0.000 0.000
0.000 0.500 0.000
0.500 0.000 0.500
```

Values from the calculation:
Calculated formation energy, meV per atom: 400
Crystal system: orthorhombic
Final energy, eV per atom: -7.98

=====

[11]
The following is a DFT calculation (PBE) of crystalline ReNi2Ag at its relaxed geometry.

Structure (POSCAR):
```
ReNi2Ag
1.0
4.522 0.000 0.000
0.000 4.522 0.000
0.000 0.000 2.657
Re Ni Ag
1 2 1
Direct
0.000 0.000 0.000
0.000 0.500 0.500
0.500 0.000 0.500
0.500 0.500 0.000
```

Values from the calculation:
Calculated formation energy, meV per atom: 372
Crystal system: tetragonal
Final energy, eV per atom: -6.34

=====

[12]
The following is a DFT calculation (PBE) of crystalline Re2NiAg at its relaxed geometry.

Structure (POSCAR):
```
Re2NiAg
1.0
2.646 0.000 0.000
0.000 4.060 0.000
0.000 0.000 5.453
Re Ni Ag
2 1 1
Direct
0.000 0.000 0.224
0.000 0.000 0.776
0.500 0.500 0.000
0.500 0.500 0.500
```

Values from the calculation:
Calculated formation energy, meV per atom: 485
Crystal system: orthorhombic
Final energy, eV per atom: -7.90

=====

[13]
The following is a DFT calculation (PBE) of crystalline ReNi2Ag at its relaxed geometry.

Structure (POSCAR):
```
ReNi2Ag
1.0
2.666 0.000 0.000
0.000 4.446 0.000
0.000 0.000 4.732
Re Ni Ag
1 2 1
Direct
0.000 0.000 0.000
0.000 0.500 0.500
0.500 0.500 0.000
0.500 0.000 0.500
```

Values from the calculation:
Calculated formation energy, meV per atom: 610
Crystal system: orthorhombic
Final energy, eV per atom: -6.11

=====

[14]
The following is a DFT calculation (PBE) of crystalline Re2NiAg at its relaxed geometry.

Structure (POSCAR):
```
Re2NiAg
1.0
6.148 0.000 0.000
0.000 6.148 0.000
0.000 0.000 6.148
Re Ni Ag
8 4 4
Direct
0.250 0.250 0.250
0.250 0.250 0.750
0.250 0.750 0.250
0.250 0.750 0.750
0.750 0.250 0.250
0.750 0.250 0.750
0.750 0.750 0.250
0.750 0.750 0.750
0.000 0.000 0.000
0.000 0.500 0.500
0.500 0.000 0.500
0.500 0.500 0.000
0.000 0.000 0.500
0.000 0.500 0.000
0.500 0.000 0.000
0.500 0.500 0.500
```

Values from the calculation:
Calculated formation energy, meV per atom: 897
Crystal system: cubic
Final energy, eV per atom: -7.49

=====

[15]
The following is a DFT calculation (PBE) of crystalline Re2Ni2Ag at its relaxed geometry.

Structure (POSCAR):
```
Re2Ni2Ag
1.0
7.448 0.000 0.000
0.000 7.448 0.000
0.000 0.000 2.617
Re Ni Ag
4 4 2
Direct
0.121 0.379 0.000
0.379 0.879 0.000
0.621 0.121 0.000
0.879 0.621 0.000
0.169 0.669 0.500
0.331 0.169 0.500
0.669 0.831 0.500
0.831 0.331 0.500
0.000 0.000 0.500
0.500 0.500 0.500
```

Values from the calculation:
Calculated formation energy, meV per atom: 354
Crystal system: tetragonal
Final energy, eV per atom: -7.51

=====

[16]
The following is a DFT calculation (PBE) of crystalline ReNi2Ag at its relaxed geometry.

Structure (POSCAR):
```
ReNi2Ag
1.0
5.982 0.000 0.000
0.000 5.982 0.000
0.000 0.000 5.982
Re Ni Ag
4 8 4
Direct
0.000 0.000 0.000
0.000 0.500 0.500
0.500 0.000 0.500
0.500 0.500 0.000
0.250 0.250 0.250
0.250 0.250 0.750
0.250 0.750 0.250
0.250 0.750 0.750
0.750 0.250 0.250
0.750 0.250 0.750
0.750 0.750 0.250
0.750 0.750 0.750
0.000 0.000 0.500
0.000 0.500 0.000
0.500 0.000 0.000
0.500 0.500 0.500
```

Values from the calculation:
Calculated formation energy, meV per atom: 440
Crystal system: cubic
Final energy, eV per atom: -6.28

=====

[17]
The following is a DFT calculation (PBE) of crystalline ReNi2Ag at its relaxed geometry.

Structure (POSCAR):
```
ReNi2Ag
1.0
2.621 0.000 0.000
0.000 4.158 0.000
-1.308 0.000 4.935
Re Ni Ag
1 2 1
Direct
0.000 0.000 0.000
0.274 0.000 0.543
0.408 0.500 0.821
0.670 0.500 0.335
```

Values from the calculation:
Calculated formation energy, meV per atom: 293
Crystal system: monoclinic
Final energy, eV per atom: -6.42

=====

[18]
The following is a DFT calculation (PBE) of crystalline Re3NiAg at its relaxed geometry.

Structure (POSCAR):
```
Re3NiAg
1.0
4.705 0.000 0.000
0.000 4.705 0.000
0.000 0.000 4.705
Re Ni Ag
3 1 1
Direct
0.000 0.000 0.500
0.000 0.500 0.000
0.500 0.000 0.000
0.500 0.500 0.500
0.000 0.000 0.000
```

Values from the calculation:
Calculated formation energy, meV per atom: 3344
Crystal system: cubic
Final energy, eV per atom: -5.85

=====

[19]
The following is a DFT calculation (PBE) of crystalline ReNi2Ag at its relaxed geometry.

Structure (POSCAR):
```
ReNi2Ag
1.0
2.667 0.000 0.000
0.000 4.425 0.000
0.000 0.000 9.266
Re Ni Ag
2 4 2
Direct
0.000 0.000 0.000
0.500 0.500 0.500
0.000 0.000 0.449
0.000 0.500 0.724
0.500 0.000 0.224
0.500 0.500 0.949
0.000 0.500 0.218
0.500 0.000 0.718
```

Values from the calculation:
Calculated formation energy, meV per atom: 367
Crystal system: orthorhombic
Final energy, eV per atom: -6.35

=====

[20]
The following is a DFT calculation (PBE) of crystalline Re2NiAg at its relaxed geometry.

Structure (POSCAR):
```
Re2NiAg
1.0
2.725 0.000 0.000
-1.363 2.360 0.000
0.000 0.000 27.420
Re Ni Ag
6 3 3
Direct
0.000 0.000 0.242
0.000 0.000 0.758
0.333 0.667 0.424
0.333 0.667 0.909
0.667 0.333 0.091
0.667 0.333 0.576
0.000 0.000 0.500
0.333 0.667 0.167
0.667 0.333 0.833
0.000 0.000 0.000
0.333 0.667 0.667
0.667 0.333 0.333
```

Values from the calculation:
Calculated formation energy, meV per atom: 398
Crystal system: trigonal
Final energy, eV per atom: -7.98